## Co2SnO3 (PBE with a Hubbard U)

Data for crystalline Co2SnO3 at its relaxed geometry.

Calculated values
- final energy (eV per atom) = -5.71

a b c (Å): 6.192 6.192 6.241
angles (deg): 117.34 117.34 55.48
Positions (direct):
Co  0.077  0.271  0.050
Co  0.271  0.077  0.550
Co  0.729  0.923  0.450
Co  0.923  0.729  0.950
Sn  0.433  0.567  0.750
Sn  0.567  0.433  0.250
O  0.199  0.801  0.250
O  0.243  0.344  0.875
O  0.344  0.243  0.375
O  0.656  0.757  0.625
O  0.757  0.656  0.125
O  0.801  0.199  0.750